*a*
# LiH2S (GGA-PBE, relaxed)
# - volume (Å³/cell) = 133.29
# - crystal system = cubic
# - ρ (g/cm³) = 2.044
# - magnetization (μB per cell) = 0.00
data_LiH2S
_chemical_formula_sum 'Li4 H8 S4'
_space_group_name_H-M_alt 'F m -3 m'
_space_group_IT_number 225
_space_group_name_Hall '-F 4 2 3'
_cell_length_a 5.108
_cell_length_b 5.108
_cell_length_c 5.108
_cell_angle_alpha 90.00
_cell_angle_beta 90.00
_cell_angle_gamma 90.00
loop_
_atom_site_label
_atom_site_type_symbol
_atom_site_fract_x
_atom_site_fract_y
_atom_site_fract_z
Li1 Li 0.000 0.000 0.000
H1 H 0.250 0.250 0.250
S1 S 0.000 0.000 0.500

*b*
# LiH2S (GGA-PBE, relaxed)
# - volume (Å³/cell) = 163.83
# - crystal system = tetragonal
# - ρ (g/cm³) = 1.663
# - magnetization (μB per cell) = 0.00
data_LiH2S
_chemical_formula_sum 'Li4 H8 S4'
_space_group_name_H-M_alt 'I 41/a m d'
_space_group_IT_number 141
_cell_length_a 3.519
_cell_length_b 3.519
_cell_length_c 13.232
_cell_angle_alpha 90.00
_cell_angle_beta 90.00
_cell_angle_gamma 90.00
loop_
_space_group_symop_operation_xyz
'x,y,z'
'-x,-y,-z'
'-y+1/4,x+3/4,z+1/4'
'y+1/4,-x+3/4,-z+1/4'
'-x+1/2,-y,z+1/2'
'x+1/2,y,-z+1/2'
'y+1/4,-x+1/4,z+3/4'
'-y+1/4,x+1/4,-z+3/4'
'x,-y,-z'
'-x,y,z'
'-y+1/4,-x+1/4,-z+3/4'
'y+1/4,x+1/4,z+3/4'
'-x+1/2,y,-z+1/2'
'x+1/2,-y,z+1/2'
'y+1/4,x+3/4,-z+1/4'
'-y+1/4,-x+3/4,z+1/4'
'x+1/2,y+1/2,z+1/2'
'-x+1/2,-y+1/2,-z+1/2'
'-y+3/4,x+1/4,z+3/4'
'y+3/4,-x+1/4,-z+3/4'
'-x,-y+1/2,z'
'x,y+1/2,-z'
'y+3/4,-x+3/4,z+1/4'
'-y+3/4,x+3/4,-z+1/4'
'x+1/2,-y+1/2,-z+1/2'
'-x+1/2,y+1/2,z+1/2'
'-y+3/4,-x+3/4,-z+1/4'
'y+3/4,x+3/4,z+1/4'
'-x,y+1/2,-z'
'x,-y+1/2,z'
'y+3/4,x+1/4,-z+3/4'
'-y+3/4,-x+1/4,z+3/4'
loop_
_atom_site_label
_atom_site_type_symbol
_atom_site_fract_x
_atom_site_fract_y
_atom_site_fract_z
Li1 Li 0.000 0.250 0.375
H1 H 0.000 0.000 0.000
S1 S 0.000 0.250 0.875

Referenced to the most stable arrangement, the calculated values in kJ/mol of atoms are *a* 18.8; *b* 0.0.